VASP calculation (GGA+U) on an optimized crystal structure of Rb2VCdO4.

Properties
* calculated total energy: -5.21 eV/atom
* space group: No. 70
* magnetic moment: 0.000 μB/atom
* crystal system: orthorhombic

Cell: 12.4492 11.1840 6.8526 Å, 83.61 63.23 33.16°
Element x y z (fractional)
Rb (0.0547, 0.0547, 0.6953)
Rb (0.3047, 0.3047, 0.9453)
Rb (0.6953, 0.6953, 0.0547)
Rb (0.9453, 0.9453, 0.3047)
V (0.3750, 0.3750, 0.3750)
V (0.6250, 0.6250, 0.6250)
Cd (0.1250, 0.1250, 0.1250)
Cd (0.8750, 0.8750, 0.8750)
O (0.0646, 0.5971, 0.5175)
O (0.3208, 0.5175, 0.5971)
O (0.4029, 0.9354, 0.6792)
O (0.4825, 0.6792, 0.9354)
O (0.5175, 0.3208, 0.0646)
O (0.5971, 0.0646, 0.3208)
O (0.6792, 0.4825, 0.4029)
O (0.9354, 0.4029, 0.4825)